# 1
# AcNd6Ho3 PBE-GGA optimized geometry
data_AcNd6Ho3
_cell_length_a 8.804
_cell_length_b 8.804
_cell_length_c 9.425
_cell_angle_alpha 90.00
_cell_angle_beta 90.00
_cell_angle_gamma 98.47
_space_group_name_H-M_alt 'P 1'
_space_group_IT_number 1
loop_
_space_group_symop_operation_xyz
'x,y,z'
loop_
_atom_site_label
_atom_site_type_symbol
_atom_site_fract_x
_atom_site_fract_y
_atom_site_fract_z
Ac1 Ac 0.245 0.755 0.500
Ac2 Ac 0.755 0.245 0.000
Nd1 Nd 0.079 0.401 0.736
Nd2 Nd 0.082 0.303 0.381
Nd3 Nd 0.267 0.733 0.048
Nd4 Nd 0.303 0.082 0.881
Nd5 Nd 0.401 0.079 0.236
Nd6 Nd 0.487 0.513 0.797
Nd7 Nd 0.513 0.487 0.297
Nd8 Nd 0.599 0.921 0.736
Nd9 Nd 0.697 0.918 0.381
Nd10 Nd 0.733 0.267 0.548
Nd11 Nd 0.918 0.697 0.881
Nd12 Nd 0.921 0.599 0.236
Ho1 Ho 0.019 0.981 0.144
Ho2 Ho 0.203 0.363 0.068
Ho3 Ho 0.363 0.203 0.568
Ho4 Ho 0.637 0.797 0.068
Ho5 Ho 0.797 0.637 0.568
Ho6 Ho 0.981 0.019 0.644
# Space group: Cmc2_1 (36)
# DOS at the Fermi energy (states/eV per cell): 27.16
# Electronic total energy (eV/atom): -4.459
# Spin magnetization (μB per cell): 0.0
# Energy of formation (meV/atom): 186

---

# 2
# Na3TbDy2S6 PBE-GGA optimized geometry
data_Na3TbDy2S6
_cell_length_a 6.913
_cell_length_b 6.913
_cell_length_c 7.069
_cell_angle_alpha 99.38
_cell_angle_beta 99.38
_cell_angle_gamma 120.00
_space_group_name_H-M_alt 'P 1'
_space_group_IT_number 1
loop_
_space_group_symop_operation_xyz
'x,y,z'
loop_
_atom_site_label
_atom_site_type_symbol
_atom_site_fract_x
_atom_site_fract_y
_atom_site_fract_z
Na1 Na 0.000 0.000 0.000
Na2 Na 0.333 0.667 0.000
Na3 Na 0.667 0.333 0.000
Tb1 Tb 0.500 0.500 0.500
Dy1 Dy 0.167 0.833 0.500
Dy2 Dy 0.833 0.167 0.500
S1 S 0.090 0.424 0.273
S2 S 0.241 0.241 0.727
S3 S 0.424 0.090 0.273
S4 S 0.576 0.910 0.727
S5 S 0.759 0.759 0.273
S6 S 0.910 0.576 0.727
# Space group: C2/m (12)
# DOS at the Fermi energy (states/eV per cell): 0.00
# Electronic total energy (eV/atom): -5.395
# Spin magnetization (μB per cell): 0.0